PBE KMg2Ru, relaxed; relative energy among the computed polymorphs = 382 meV per atom; E_form = 623 meV/atom
1.0
5.1800 0.0994 0.0000
-0.1084 5.1798 0.0000
0.0000 0.0000 3.1460
Mg Ru K
2 1 1
direct
0.5000 0.5000 0.0000 Mg
0.0000 0.0000 0.0000 Mg
0.5000 0.0000 0.5000 Ru
0.0000 0.5000 0.5000 K